VASP calculation (PBE) on Na5Cd2Ag after structural relaxation.

Symmetry: Pbam, No. 55
Energy of formation from the pure elements in kJ/mol of formula units: -21
Spin magnetization in μB per cell: 0.000
E_tot in eV/atom: -1.437

abc: 6.684 13.371 4.731
angles: 90.00 90.00 90.00
Fractional positions:
Na 0.000 0.000 0.000
Na 0.012 0.260 0.000
Na 0.247 0.879 0.500
Na 0.253 0.379 0.500
Na 0.488 0.760 0.000
Na 0.500 0.500 0.000
Na 0.512 0.240 0.000
Na 0.747 0.621 0.500
Na 0.753 0.121 0.500
Na 0.988 0.740 0.000
Cd 0.227 0.615 0.500
Cd 0.273 0.115 0.500
Cd 0.727 0.885 0.500
Cd 0.773 0.385 0.500
Ag 0.000 0.500 0.000
Ag 0.500 0.000 0.000